[1]
Computed, not measured: LaAgOs at its PBEsol-relaxed geometry at the meta-GGA SCAN level of DFT.

CIF file:
```
data_LaAgOs
_chemical_formula_sum 'La4 Ag4 Os4'
_cell_length_a 6.501
_cell_length_b 6.501
_cell_length_c 6.501
_cell_angle_alpha 90.00
_cell_angle_beta 90.00
_cell_angle_gamma 90.00
_symmetry_space_group_name_H-M 'F -4 3 m'
_symmetry_Int_Tables_number 216
_symmetry_space_group_name_Hall 'F -4 2 3'
loop_
_atom_site_label
_atom_site_type_symbol
_atom_site_fract_x
_atom_site_fract_y
_atom_site_fract_z
La1 La 0.000 0.000 0.000
Ag1 Ag 0.000 0.000 0.500
Os1 Os 0.250 0.250 0.750
```

Summary:
Crystal system = cubic
DOS(E_F) = 0.15 states/eV/f.u.
E_form = 433 meV per atom

***

[2]
Computed, not measured: SrBrCl at its PBEsol-relaxed geometry at the meta-GGA SCAN level of DFT.

CIF file:
```
data_SrBrCl
_chemical_formula_sum 'Sr1 Br1 Cl1'
_cell_length_a 4.4562
_cell_length_b 4.4562
_cell_length_c 6.0581
_cell_angle_alpha 90.00
_cell_angle_beta 90.00
_cell_angle_gamma 120.00
_symmetry_space_group_name_H-M 'P 3 m 1'
_symmetry_Int_Tables_number 156
loop_
_symmetry_equiv_pos_as_xyz
'x,y,z'
'-y,x-y,z'
'-x+y,-x,z'
'-y,-x,z'
'-x+y,y,z'
'x,x-y,z'
loop_
_atom_site_label
_atom_site_type_symbol
_atom_site_fract_x
_atom_site_fract_y
_atom_site_fract_z
Sr1 Sr 0.0000 0.0000 0.0000
Br1 Br 0.3333 0.6667 0.7336
Cl1 Cl 0.6667 0.3333 0.2159
```

Summary:
Crystal system = trigonal
DOS(E_F) = 0.00 states/eV/f.u.
Formation energy from raw total energies = -241.5 kJ per mole of atoms

***

[3]
Computed, not measured: LaIrF2 at its PBEsol-relaxed geometry at the meta-GGA SCAN level of DFT.

CIF file:
```
data_LaIrF2
_chemical_formula_sum 'La3 Ir3 F6'
_cell_length_a 3.9997
_cell_length_b 3.9997
_cell_length_c 15.6676
_cell_angle_alpha 90.00
_cell_angle_beta 90.00
_cell_angle_gamma 120.00
_symmetry_space_group_name_H-M 'R -3 m'
_symmetry_Int_Tables_number 166
_symmetry_space_group_name_Hall '-R 3 2"'
loop_
_atom_site_label
_atom_site_type_symbol
_atom_site_fract_x
_atom_site_fract_y
_atom_site_fract_z
La1 La 0.0000 0.0000 0.0000
Ir1 Ir 0.0000 0.0000 0.5000
F1 F 0.0000 0.0000 0.2926
```

Summary:
Distance to the lowest polymorph of the same formula = 0.0 meV per atom
Crystal system = trigonal
DOS(E_F) = 0.83 states/eV/f.u.
Formation energy from raw total energies = -179.3 kJ per mole of atoms

***

[4]
Computed, not measured: Mn2AlFe at its PBEsol-relaxed geometry at the meta-GGA SCAN level of DFT.

CIF file:
```
data_Mn2AlFe
_chemical_formula_sum 'Mn4 Al2 Fe2'
_cell_length_a 3.713
_cell_length_b 3.713
_cell_length_c 6.660
_cell_angle_alpha 90.00
_cell_angle_beta 90.00
_cell_angle_gamma 90.00
_symmetry_space_group_name_H-M 'I 4/m m m'
_symmetry_Int_Tables_number 139
_symmetry_space_group_name_Hall '-I 4 2'
loop_
_atom_site_label
_atom_site_type_symbol
_atom_site_fract_x
_atom_site_fract_y
_atom_site_fract_z
Mn1 Mn 0.000 0.500 0.250
Al1 Al 0.000 0.000 0.000
Fe1 Fe 0.000 0.000 0.500
```

Summary:
Crystal system = tetragonal
DOS(E_F) = 3.30 states/eV/f.u.
E_form = -195 meV per atom

***

| no. | calculated total energy (eV/atom) |
| --- | --- |
| 1 | -48.3515 |
| 2 | -19.0738 |
| 3 | -32.1794 |
| 4 | -15.7927 |